Compound: Pm2Al5Ag4
Source: the Alexandria database
Functional: PBE-GGA
Structure: optimized geometry

* energy of formation from the pure elements: -0.31 eV per atom

```
data_Pm2Al5Ag4
_chemical_formula_sum 'Pm4 Al10 Ag8'
_cell_length_a 5.4933
_cell_length_b 8.8920
_cell_length_c 9.2592
_cell_angle_alpha 90.00
_cell_angle_beta 90.00
_cell_angle_gamma 90.00
_symmetry_space_group_name_H-M 'I m m m'
_symmetry_Int_Tables_number 71
_symmetry_space_group_name_Hall '-I 2 2'
loop_
_atom_site_label
_atom_site_fract_x
_atom_site_fract_y
_atom_site_fract_z
Pm1 0.0000 0.2240 0.0000
Al1 0.0000 0.5000 0.5000
Al2 0.2467 0.5000 0.2312
Ag1 0.0000 0.2457 0.3365
```